Entry 1:
PBE KBeCr2, optimized geometry; final energy = -37.1 eV/cell; SG = No. 141; E_form = 1.375 eV per atom; N(E_F) = 1.60 states/eV/f.u.
1.0
5.691 0.000 0.000
0.000 5.691 0.000
2.845 2.845 7.463
Cr K Be
4 2 2
direct
0.375 0.125 0.250 Cr
0.375 0.625 0.250 Cr
0.375 0.625 0.750 Cr
0.875 0.625 0.750 Cr
0.000 0.000 0.000 K
0.750 0.250 0.500 K
0.500 0.500 0.000 Be
0.250 0.750 0.500 Be

Entry 2:
PBE TbMn7Fe5, optimized geometry; final energy = -111.0 eV/cell; SG = No. 44; E_form = 0.007 eV per atom; N(E_F) = 14.17 states/eV/f.u.
1.0
-4.556 0.699 -0.847
-3.482 -5.045 1.601
-2.957 2.509 5.011
Tb Mn Fe
1 7 5
direct
0.002 0.998 0.998 Tb
0.638 0.362 0.362 Mn
0.363 0.637 0.637 Mn
0.999 0.361 0.641 Mn
0.999 0.641 0.361 Mn
0.267 0.233 0.233 Mn
0.500 0.773 0.227 Mn
0.500 0.227 0.773 Mn
0.501 0.999 0.500 Fe
0.000 0.999 0.500 Fe
0.501 0.500 0.999 Fe
0.000 0.500 0.999 Fe
0.730 0.770 0.770 Fe

Entry 3:
PBE YWSe2, optimized geometry; formation energy without anion corrections = -539 meV/atom; final energy = -28.5 eV/cell; SG = No. 44; N(E_F) = 1.74 states/eV/f.u.
1.0
6.765 0.022 -0.006
4.864 4.702 0.006
-5.784 -2.436 2.525
Se W Y
2 1 1
direct
0.032 0.032 0.000 Se
0.303 0.803 0.500 Se
0.459 0.459 0.000 W
0.706 0.206 0.500 Y

Entry 4:
PBE Sm6YEr3Th2, optimized geometry; final energy = -62.9 eV/cell; SG = No. 12; E_form = 0.038 eV per atom; N(E_F) = 17.26 states/eV/f.u.
1.0
-0.875 -0.021 -6.146
3.663 -4.271 2.623
-10.168 -5.670 2.515
Sm Y Er Th
6 1 3 2
direct
0.917 0.580 0.751 Sm
0.746 0.746 0.250 Sm
0.083 0.420 0.249 Sm
0.580 0.917 0.751 Sm
0.254 0.254 0.750 Sm
0.420 0.083 0.249 Sm
0.000 0.000 0.000 Y
0.167 0.833 0.500 Er
0.833 0.167 0.500 Er
0.500 0.500 0.500 Er
0.333 0.667 0.000 Th
0.667 0.333 0.000 Th

Entry 5:
PBE TbPr12Nd7, optimized geometry; final energy = -91.1 eV/cell; SG = No. 166; E_form = 0.212 eV per atom; N(E_F) = 25.09 states/eV/f.u.
1.0
-3.627 3.670 3.779
-8.097 -4.289 -7.216
4.471 -7.378 7.849
Tb Pr Nd
1 12 7
direct
0.000 0.000 0.000 Tb
0.090 0.589 0.179 Pr
0.089 0.179 0.589 Pr
0.581 0.645 0.000 Pr
0.419 0.000 0.356 Pr
0.499 0.411 0.589 Pr
0.063 0.644 0.645 Pr
0.937 0.356 0.355 Pr
0.501 0.589 0.411 Pr
0.581 0.000 0.644 Pr
0.419 0.355 0.000 Pr
0.911 0.821 0.411 Pr
0.910 0.411 0.821 Pr
0.124 0.750 0.000 Nd
0.876 0.000 0.250 Nd
0.626 0.750 0.750 Nd
0.500 0.000 0.000 Nd
0.374 0.250 0.250 Nd
0.124 0.000 0.750 Nd
0.876 0.250 0.000 Nd

Entry 6:
PBE BaVH, optimized geometry; final energy = -27.5 eV/cell; SG = No. 6; N(E_F) = 3.48 states/eV/f.u.
1.0
6.041 0.003 0.028
-0.003 4.470 -0.017
2.909 0.022 5.192
H Ba V
2 2 2
direct
0.286 0.450 0.224 H
0.624 0.950 0.056 H
0.124 0.950 0.016 Ba
0.783 0.450 0.687 Ba
0.454 0.700 0.354 V
0.454 0.200 0.354 V

Entry 7:
PBE V3Ga2Ge2, optimized geometry; final energy = -42.9 eV/cell; SG = No. 12; E_form = -0.035 eV per atom; N(E_F) = 4.83 states/eV/f.u.
1.0
-1.847 3.054 0.488
0.024 -3.042 5.817
4.028 2.197 1.472
V Ga Ge
3 2 2
direct
0.000 0.000 0.000 V
0.729 0.460 0.253 V
0.271 0.540 0.747 V
0.903 0.806 0.553 Ga
0.097 0.194 0.447 Ga
0.631 0.260 0.809 Ge
0.369 0.740 0.191 Ge

Entry 8:
PBE HfTa3Tl, optimized geometry; final energy = -38.7 eV/cell; SG = No. 221; E_form = 1.839 eV per atom; N(E_F) = 4.95 states/eV/f.u.
1.0
4.953 0.000 0.000
0.000 4.953 0.000
0.000 0.000 4.953
Tl Hf Ta
1 1 3
direct
0.500 0.500 0.500 Tl
0.000 0.000 0.000 Hf
0.000 0.500 0.000 Ta
0.000 0.000 0.500 Ta
0.500 0.000 0.000 Ta